A relaxed structure of HoFe2F8, computed with PBE+U.

a b c (Å): 5.266 5.477 5.477
angles (deg): 74.13 100.82 100.82
Site moments in Bohr magnetons follow the coordinates.
Fractional coordinates of all 11 atoms:
1 Ho 0.000 0.000 0.000  0.03
2 Fe 0.442 0.671 0.671  4.18
3 Fe 0.558 0.329 0.329  4.18
4 F 0.302 0.342 0.946  0.05
5 F 0.698 0.054 0.658  0.05
6 F 0.222 0.825 0.825  0.04
7 F 0.778 0.175 0.175  0.04
8 F 0.302 0.946 0.342  0.05
9 F 0.698 0.658 0.054  0.05
10 F 0.739 0.566 0.566  0.10
11 F 0.261 0.434 0.434  0.10

Computed properties:
**E**: -5.76 eV per atom



A relaxed structure of RbHoFeF6, computed with PBE+U.

a b c (Å): 5.769 5.768 5.971
angles (deg): 89.85 90.15 61.16
Site moments in Bohr magnetons follow the coordinates.
Fractional coordinates of all 9 atoms:
1 Rb 0.000 0.000 0.000  0.00
2 Ho 0.333 0.333 0.500  0.00
3 Fe 0.670 0.670 0.500  3.80
4 F 0.992 0.385 0.304  0.02
5 F 0.385 0.993 0.696  0.02
6 F 0.628 0.384 0.692  0.02
7 F 0.993 0.615 0.696  0.02
8 F 0.384 0.628 0.308  0.02
9 F 0.615 0.993 0.304  0.02

Computed properties:
**E**: -5.76 eV per atom